(1)
The following is a DFT calculation (GGA-PBE) of an optimized crystal structure of Y5Cd4.

Computed properties:
size of the total moment = 1.02 Bohr magnetons per cell
ΔH_f (0 K) = -138 meV per atom
crystal system = tetragonal
electronic total energy = -0.304 Ry per atom

Lattice parameters (Å, degrees): 7.4978 7.4978 7.4978 95.82 95.82 142.88
With the nearest neighbours (Å) after each atom.
Element x y z (fractional)
Cd 0.0000 0.6606 0.6606  5 Cd 3.23-3.30, 7 Y 3.31-3.41
Cd 0.0000 0.3394 0.3394  5 Cd 3.23-3.30, 7 Y 3.31-3.41
Cd 0.3394 0.0000 0.3394  5 Cd 3.23-3.30, 7 Y 3.31-3.41
Cd 0.6606 0.0000 0.6606  5 Cd 3.23-3.30, 7 Y 3.31-3.41
Y 0.6710 0.6710 0.3421  6 Y 3.28-3.44, 6 Cd 3.31-3.39
Y 0.0000 0.0000 0.0000  8 Y 3.41, 4 Cd 3.41
Y 0.3290 0.3290 0.6579  6 Y 3.28-3.44, 6 Cd 3.31-3.39
Y 0.6710 0.3290 0.0000  6 Y 3.28-3.44, 6 Cd 3.31-3.39
Y 0.3290 0.6710 0.0000  6 Y 3.28-3.44, 6 Cd 3.31-3.39

(2)
The following is a DFT calculation (GGA-PBE) of an optimized crystal structure of YCd3.

Computed properties:
size of the total moment = 0.00 Bohr magnetons per cell
ΔH_f (0 K) = -101 meV per atom
crystal system = trigonal
electronic total energy = -0.177 Ry per atom

Lattice parameters (Å, degrees): 6.1607 6.1607 6.1607 117.32 117.32 117.32
With the nearest neighbours (Å) after each atom.
Element x y z (fractional)
Y 0.5000 0.0000 0.5000  2 Y 3.06, 6 Cd 3.20
Cd 0.5000 0.5000 0.0000  6 Cd 3.06-3.20, 2 Y 3.20
Cd 0.0000 0.5000 0.5000  6 Cd 3.06-3.20, 2 Y 3.20
Cd 0.0000 0.0000 0.0000  6 Cd 3.06-3.20, 2 Y 3.20

(3)
The following is a DFT calculation (GGA-PBE) of an optimized crystal structure of Y3Cd.

Computed properties:
size of the total moment = 0.01 Bohr magnetons per cell
ΔH_f (0 K) = -136 meV per atom
crystal system = orthorhombic
electronic total energy = -0.383 Ry per atom

Lattice parameters (Å, degrees): 7.0203 9.5913 6.9804 90.00 90.00 90.00
With the nearest neighbours (Å) after each atom.
Element x y z (fractional)
Y 0.9999 0.2500 0.9284  1 Cd 3.00
Y 0.7502 0.4624 0.2508  2 Cd 3.20, 8 Y 3.50-3.56
Y 0.2498 0.5376 0.7492  2 Cd 3.20, 8 Y 3.50-3.56
Y 0.2502 0.0376 0.2492  2 Cd 3.20, 8 Y 3.50-3.56
Y 0.2502 0.4624 0.2492  2 Cd 3.20, 8 Y 3.50-3.56
Y 0.0001 0.7500 0.0716  1 Cd 3.00
Y 0.7498 0.5376 0.7508  2 Cd 3.20, 8 Y 3.50-3.56
Y 0.2498 0.9624 0.7492  2 Cd 3.20, 8 Y 3.50-3.56
Y 0.4999 0.2500 0.5716  1 Cd 3.00
Y 0.7502 0.0376 0.2508  2 Cd 3.20, 8 Y 3.50-3.56
Y 0.7498 0.9624 0.7508  2 Cd 3.20, 8 Y 3.50-3.56
Y 0.5001 0.7500 0.4284  1 Cd 3.00
Cd 0.9994 0.7500 0.5018  5 Y 3.00-3.20
Cd 0.4994 0.7500 0.9982  5 Y 3.00-3.20
Cd 0.0006 0.2500 0.4982  5 Y 3.00-3.20
Cd 0.5006 0.2500 0.0018  5 Y 3.00-3.20

(4)
The following is a DFT calculation (GGA-PBE) of an optimized crystal structure of Y3Cd.

Computed properties:
size of the total moment = 0.03 Bohr magnetons per cell
ΔH_f (0 K) = -64 meV per atom
crystal system = cubic
electronic total energy = -0.378 Ry per atom

Lattice parameters (Å, degrees): 6.1561 6.1561 6.1561 90.00 90.00 90.00
With the nearest neighbours (Å) after each atom.
Element x y z (fractional)
Y 0.5000 0.0000 0.7500  2 Y 3.08, 4 Cd 3.44
Y 0.0000 0.7500 0.5000  2 Y 3.08, 4 Cd 3.44
Y 0.0000 0.2500 0.5000  2 Y 3.08, 4 Cd 3.44
Y 0.2500 0.5000 0.0000  2 Y 3.08, 4 Cd 3.44
Y 0.7500 0.5000 0.0000  2 Y 3.08, 4 Cd 3.44
Y 0.5000 0.0000 0.2500  2 Y 3.08, 4 Cd 3.44
Cd 0.0000 0.0000 0.0000  12 Y 3.44
Cd 0.5000 0.5000 0.5000  12 Y 3.44

(5)
The following is a DFT calculation (GGA-PBE) of an optimized crystal structure of Y3Cd5.

Computed properties:
size of the total moment = 0.00 Bohr magnetons per cell
ΔH_f (0 K) = -311 meV per atom
crystal system = orthorhombic
electronic total energy = -0.243 Ry per atom

Lattice parameters (Å, degrees): 6.4444 6.4444 5.0951 90.00 90.00 72.37
With the nearest neighbours (Å) after each atom.
Element x y z (fractional)
Y 0.5000 0.5000 0.0000  8 Cd 3.14-3.22
Y 0.7682 0.7682 0.5000  8 Cd 3.12-3.34
Y 0.2318 0.2318 0.5000  8 Cd 3.12-3.34
Cd 0.0000 0.5000 0.0000  6 Y 3.19-3.22, 2 Cd 3.22
Cd 0.2595 0.7405 0.5000  6 Y 3.12-3.34, 2 Cd 3.22
Cd 0.5000 0.0000 0.0000  6 Y 3.19-3.22, 2 Cd 3.22
Cd 0.0000 0.0000 0.0000  8 Cd 3.22, 4 Y 3.51
Cd 0.7405 0.2595 0.5000  6 Y 3.12-3.34, 2 Cd 3.22

(6)
The following is a DFT calculation (GGA-PBE) of an optimized crystal structure of YZn3Cd.

Computed properties:
size of the total moment = 0.00 Bohr magnetons per cell
ΔH_f (0 K) = 789 meV per atom
crystal system = cubic
electronic total energy = -0.107 Ry per atom

Lattice parameters (Å, degrees): 5.6172 5.6172 5.6172 90.00 90.00 90.00
With the nearest neighbours (Å) after each atom.
Element x y z (fractional)
Zn 0.5000 0.0000 0.0000  2 Y 2.81
Zn 0.0000 0.5000 0.0000  2 Y 2.81
Zn 0.0000 0.0000 0.5000  2 Y 2.81
Y 0.0000 0.0000 0.0000  6 Zn 2.81
Cd 0.5000 0.5000 0.5000  12 Zn 3.97

(7)
The following is a DFT calculation (GGA-PBE) of an optimized crystal structure of Y3Zn2Cd7.

Computed properties:
size of the total moment = 0.00 Bohr magnetons per cell
ΔH_f (0 K) = -221 meV per atom
crystal system = trigonal
electronic total energy = -0.190 Ry per atom

Lattice parameters (Å, degrees): 5.8835 5.8835 9.7697 72.48 72.48 60.00
With the nearest neighbours (Å) after each atom.
Element x y z (fractional)
Cd 0.4162 0.4162 0.2422  2 Zn 2.78-2.81, 5 Cd 2.89-3.00
Cd 0.5838 0.0745 0.7578  2 Zn 2.78-2.80, 5 Cd 2.89-3.00
Cd 0.5000 0.5000 0.5000  6 Cd 2.93
Cd 0.4161 0.9255 0.2422  2 Zn 2.78-2.80, 5 Cd 2.89-3.00
Cd 0.9255 0.4162 0.2422  2 Zn 2.78-2.80, 5 Cd 2.89-3.00
Cd 0.5838 0.5838 0.7578  2 Zn 2.78-2.81, 5 Cd 2.89-3.00
Cd 0.0745 0.5838 0.7578  2 Zn 2.78-2.80, 5 Cd 2.89-3.00
Zn 0.6653 0.6653 0.0041  6 Cd 2.78-2.81
Zn 0.3347 0.3347 0.9959  6 Cd 2.78-2.81
Y 0.1398 0.1398 0.5807  12 Cd 3.36-3.52, 3 Y 3.70
Y 0.8602 0.8602 0.4193  12 Cd 3.36-3.52, 3 Y 3.70
Y 0.0000 0.0000 0.0000  6 Zn 3.40, 12 Cd 3.68

(8)
The following is a DFT calculation (GGA-PBE) of an optimized crystal structure of Y2ZnCd.

Computed properties:
size of the total moment = 0.00 Bohr magnetons per cell
ΔH_f (0 K) = -339 meV per atom
crystal system = orthorhombic
electronic total energy = -0.303 Ry per atom

Lattice parameters (Å, degrees): 5.1796 3.6948 5.1797 90.01 90.00 90.00
With the nearest neighbours (Å) after each atom.
Element x y z (fractional)
Zn 0.0000 0.6250 0.3758  8 Y 3.18
Y 0.5000 0.1251 0.3746  4 Cd 3.18, 4 Zn 3.18
Y 0.0000 0.1249 0.8754  4 Zn 3.18, 4 Cd 3.18
Cd 0.5000 0.6250 0.8742  8 Y 3.18

(9)
The following is a DFT calculation (GGA-PBE) of an optimized crystal structure of YZnCd2.

Computed properties:
size of the total moment = 0.00 Bohr magnetons per cell
ΔH_f (0 K) = -17 meV per atom
crystal system = tetragonal
electronic total energy = -0.177 Ry per atom

Lattice parameters (Å, degrees): 4.2866 4.2866 11.1033 78.87 78.87 90.00
With the nearest neighbours (Å) after each atom.
Element x y z (fractional)
Zn 0.5000 0.5000 0.0000  4 Y 3.03, 4 Cd 3.04
Zn 0.2500 0.7500 0.5000  4 Y 3.03, 4 Cd 3.04
Cd 0.1465 0.6250 0.2500  4 Cd 2.90-3.16, 2 Zn 3.04, 2 Y 3.10
Cd 0.6035 0.1250 0.2500  4 Cd 2.90-3.16, 2 Zn 3.04, 2 Y 3.10
Cd 0.3750 0.3965 0.7500  4 Cd 2.90-3.16, 2 Zn 3.04, 2 Y 3.10
Cd 0.8750 0.8535 0.7500  4 Cd 2.90-3.16, 2 Zn 3.04, 2 Y 3.10
Y 0.0000 0.0000 0.0000  4 Zn 3.03, 4 Cd 3.10
Y 0.7500 0.2500 0.5000  4 Zn 3.03, 4 Cd 3.10

(10)
The following is a DFT calculation (GGA-PBE) of an optimized crystal structure of Y4ZnCd.

Computed properties:
size of the total moment = 1.56 Bohr magnetons per cell
ΔH_f (0 K) = -219 meV per atom
crystal system = tetragonal
electronic total energy = -0.360 Ry per atom

Lattice parameters (Å, degrees): 3.5928 3.5928 12.7750 90.00 90.00 90.00
With the nearest neighbours (Å) after each atom.
Element x y z (fractional)
Y 0.0000 0.0000 0.3387  4 Cd 3.27, 8 Y 3.59-3.60
Y 0.5000 0.5000 0.1390  4 Zn 3.10
Y 0.5000 0.5000 0.8610  4 Zn 3.10
Y 0.0000 0.0000 0.6613  4 Cd 3.27, 8 Y 3.59-3.60
Cd 0.5000 0.5000 0.5000  8 Y 3.27, 4 Cd 3.59
Zn 0.0000 0.0000 0.0000  8 Y 3.10

(11)
The following is a DFT calculation (GGA-PBE) of an optimized crystal structure of YZn4Cd8.

Computed properties:
size of the total moment = 0.00 Bohr magnetons per cell
ΔH_f (0 K) = -100 meV per atom
crystal system = tetragonal
electronic total energy = -0.114 Ry per atom

Lattice parameters (Å, degrees): 5.6883 7.3600 7.3600 81.41 67.27 67.27
With the nearest neighbours (Å) after each atom.
Element x y z (fractional)
Cd 0.2834 0.2166 0.2166  4 Zn 2.81, 6 Cd 2.94-3.10
Cd 0.5000 0.7834 0.2166  4 Zn 2.81, 6 Cd 2.94-3.10
Cd 0.5000 0.2166 0.7834  4 Zn 2.81, 6 Cd 2.94-3.10
Cd 0.7166 0.7834 0.7834  4 Zn 2.81, 6 Cd 2.94-3.10
Cd 0.3444 0.6556 0.6556  4 Zn 2.93, 5 Cd 2.99-3.10
Cd 0.0000 0.6556 0.3444  4 Zn 2.93, 5 Cd 2.99-3.10
Cd 0.0000 0.3444 0.6556  4 Zn 2.93, 5 Cd 2.99-3.10
Cd 0.6556 0.3444 0.3444  4 Zn 2.93, 5 Cd 2.99-3.10
Zn 0.0000 0.5000 0.0000  8 Cd 2.81-2.93, 2 Zn 2.84
Zn 0.5000 0.0000 0.5000  8 Cd 2.81-2.93, 2 Zn 2.84
Zn 0.0000 0.0000 0.5000  8 Cd 2.81-2.93, 2 Zn 2.84
Zn 0.5000 0.5000 0.0000  8 Cd 2.81-2.93, 2 Zn 2.84
Y 0.0000 0.0000 0.0000  12 Cd 3.31-3.52, 8 Zn 3.68

(12)
The following is a DFT calculation (GGA-PBE) of an optimized crystal structure of YZn2Cd.

Computed properties:
size of the total moment = 0.19 Bohr magnetons per cell
ΔH_f (0 K) = -169 meV per atom
crystal system = tetragonal
electronic total energy = -0.195 Ry per atom

Lattice parameters (Å, degrees): 3.4110 3.4091 7.1092 90.00 90.00 90.00
With the nearest neighbours (Å) after each atom.
Element x y z (fractional)
Zn 0.0000 0.0000 0.0198  4 Cd 2.91, 4 Y 3.08
Zn 0.0000 0.0000 0.4802  4 Cd 2.91, 4 Y 3.08
Cd 0.5000 0.5000 0.2500  8 Zn 2.91
Y 0.5000 0.5000 0.7500  8 Zn 3.08, 4 Y 3.41